YZn5Cu7 | GGA-PBE | optimized geometry

The structure belongs to space group Imm2 (No. 44); the cell edges are 4.961, 8.674 and 8.641 Å and the angles 90.00°, 90.00° and 90.00°. Symmetry generates all atoms from Y at (0.000, 0.000, 0.000), Zn at (0.000, 0.500, 0.275), Zn at (0.249, 0.253, 0.743), Cu at (0.000, 0.000, 0.352), Cu at (0.000, 0.000, 0.642), Cu at (0.000, 0.280, 0.494), Cu at (0.000, 0.355, 0.993) and Cu at (0.000, 0.500, 0.713).

The formation energy is -131 meV per atom. The total magnetization is 0.00 μB per atom. As for the mass density: 7687 kg/m³. The value obtained for the uncorrected energy is -3.3241 eV/atom.

=====

ZrCr2As | GGA-PBE | optimized geometry

The structure belongs to space group P4mm (No. 99); the cell edges are 3.040, 3.040 and 6.593 Å and the angles 90.00°, 90.00° and 90.00°. Symmetry generates all atoms from Zr at (0.000, 0.000, 0.000), Cr at (0.000, 0.000, 0.519), Cr at (0.500, 0.500, 0.706) and As at (0.500, 0.500, 0.313).

The formation energy is -70 meV per atom. The total magnetization is 0.04 μB per atom. As for the mass density: 7361 kg/m³. The value obtained for the uncorrected energy is -8.1811 eV/atom.

=====

MgMnFe2N | GGA-PBE | optimized geometry

The structure belongs to space group P4/mmm (No. 123); the cell edges are 3.842, 3.842 and 3.789 Å and the angles 90.00°, 90.00° and 90.00°. Symmetry generates all atoms from Mg at (0.000, 0.000, 0.000), Mn at (0.500, 0.500, 0.000), Fe at (0.000, 0.500, 0.500) and N at (0.500, 0.500, 0.500).

The total magnetization is 0.90 μB per atom. As for the mass density: 6084 kg/m³. The value obtained for the uncorrected energy is -7.3146 eV/atom. The value obtained for the uncorrected formation energy is -0.11 eV/atom.